Density functional theory data (PBE) for a relaxed structure of La2BeCdHg.

a = 5.985 Å, b = 4.405 Å, c = 5.985 Å
α = 90.00°, β = 90.00°, γ = 90.00°
Element x y z (fractional)
Be: 0.000 0.500 0.000
Cd: 0.000 0.000 0.000
Hg: 0.500 0.500 0.500
La: 0.000 0.000 0.500
La: 0.500 0.000 0.000

Output
- electronic total energy (eV per cell) = -13.3
- E_form (eV/f.u.) = 1.47
- crystal system = tetragonal
- density of states at the Fermi level (states/eV per cell) = 5.089

=====

Density functional theory data (PBE) for a relaxed structure of Mn2BeCdHg.

a = 4.323 Å, b = 4.512 Å, c = 4.323 Å
α = 90.00°, β = 90.00°, γ = 90.00°
Site moments in Bohr magnetons follow the coordinates.
Element x y z (fractional)
Be: 0.000 0.000 0.000  -0.14
Mn: 0.000 0.000 0.500  3.46
Mn: 0.500 0.000 0.000  3.14
Hg: 0.000 0.500 0.000  -0.05
Cd: 0.500 0.500 0.500  -0.07

Output
- electronic total energy (eV per cell) = -20.8
- E_form (eV/f.u.) = 2.52
- crystal system = tetragonal
- density of states at the Fermi level (states/eV per cell) = 3.266

=====

Density functional theory data (PBE) for a relaxed structure of Na2BeCdHg.

a = 5.756 Å, b = 5.325 Å, c = 5.756 Å
α = 90.00°, β = 90.00°, γ = 90.00°
Element x y z (fractional)
Na: 0.000 0.000 0.500
Na: 0.500 0.000 0.000
Be: 0.500 0.500 0.500
Hg: 0.000 0.500 0.000
Cd: 0.000 0.000 0.000

Output
- electronic total energy (eV per cell) = -4.0
- E_form (eV/f.u.) = 3.59
- crystal system = tetragonal
- density of states at the Fermi level (states/eV per cell) = 3.050

=====

Density functional theory data (PBE) for a relaxed structure of NaBeCdHg2.

a = 4.847 Å, b = 4.847 Å, c = 4.846 Å
α = 90.00°, β = 90.00°, γ = 90.00°
Element x y z (fractional)
Na: 0.500 0.500 0.500
Be: 0.000 0.000 0.000
Hg: 0.000 0.500 0.000
Hg: 0.500 0.000 0.000
Cd: 0.000 0.000 0.500

Output
- electronic total energy (eV per cell) = -6.3
- E_form (eV/f.u.) = 0.31
- crystal system = tetragonal
- density of states at the Fermi level (states/eV per cell) = 2.124